Arrangement i

# AlIrNO

A relaxed structure of AlIrNO (PBE, OQMD via LeMat-Bulk).

Results
- spin magnetization (μB per formula unit) = 0.0
- calculated density (g/cm³) = 9.75
- calculated volume (Å³/cell) = 85
- space group = P4/nmm, No. 129

abc: 4.013 4.013 5.269
angles: 90.00 90.00 89.96
Fractional coordinates of all 8 atoms:
Al  0.750  0.250  0.500
Al  0.250  0.750  0.500
N  0.750  0.750  0.442
N  0.250  0.250  0.558
Ir  0.250  0.250  0.088
Ir  0.750  0.750  0.912
O  0.250  0.750  0.000
O  0.750  0.250  0.000

***

Arrangement ii

# AlIrNO

A relaxed structure of AlIrNO (PBE, OQMD via LeMat-Bulk).

Results
- spin magnetization (μB per formula unit) = 0.0
- calculated density (g/cm³) = 9.80
- calculated volume (Å³/cell) = 84
- space group = P4/nmm, No. 129

abc: 3.686 3.686 6.217
angles: 90.00 90.00 90.00
Fractional coordinates of all 8 atoms:
N  0.250  0.250  0.677
N  0.750  0.750  0.323
Ir  0.750  0.250  0.500
Ir  0.250  0.750  0.500
Al  0.250  0.250  0.097
Al  0.750  0.750  0.903
O  0.250  0.750  0.000
O  0.750  0.250  0.000

***

Which is most stable, and by how much? arrangement ii, by 438 meV per atom.